Record 1
Entry from Alexandria via LeMat-Bulk: a relaxed La2Ga3IrPt12 crystal (PBE).

abc: 7.9185 7.9185 20.6985
angles: 90.00 90.00 120.00
Space group R-3m (No. 166, hexagonal axes)
Asymmetric unit:
La (0.0000, 0.0000, 0.1282)
Ga (0.0000, 0.5000, 0.0000)
Ir (0.0000, 0.0000, 0.5000)
Pt (0.0070, 0.5035, 0.8800)
Pt (0.0080, 0.5040, 0.6258)

Calculated values
The theoretical density comes out at 13.39 g/cm³. The density of states at the Fermi level comes out at 38.597 states/eV/cell. The value obtained for the total energy is -5.86 eV per atom. The value obtained for the spin magnetization is 0.00 Bohr magnetons per cell. The value obtained for the formation energy is -290 meV/atom.

---

Record 2
Entry from Alexandria via LeMat-Bulk: a relaxed LaPuGa2Ir2 crystal (PBE).

abc: 4.4365 4.4365 7.3550
angles: 90.00 90.00 120.00
Space group P-3m1 (No. 164)
Asymmetric unit:
La (0.0000, 0.0000, 0.0000)
Pu (0.0000, 0.0000, 0.5000)
Ga (0.3333, 0.6667, 0.2747)
Ir (0.3333, 0.6667, 0.7066)

Calculated values
The theoretical density comes out at 12.01 g/cm³. The density of states at the Fermi level comes out at 8.750 states/eV/cell. The value obtained for the total energy is -7.83 eV per atom. The value obtained for the spin magnetization is 4.96 Bohr magnetons per cell. The value obtained for the formation energy is -658 meV/atom.

---

Record 3
Entry from Alexandria via LeMat-Bulk: a relaxed LaGa2ReIr crystal (PBE).

abc: 4.8036 4.8036 5.3365
angles: 90.00 90.00 90.00
Space group P4/mmm (No. 123)
Asymmetric unit:
La (0.0000, 0.0000, 0.0000)
Ga (0.0000, 0.5000, 0.5000)
Re (0.0000, 0.0000, 0.5000)
Ir (0.5000, 0.5000, 0.0000)

Calculated values
The theoretical density comes out at 8.86 g/cm³. The density of states at the Fermi level comes out at 6.871 states/eV/cell. The value obtained for the total energy is -5.76 eV per atom. The value obtained for the spin magnetization is 1.46 Bohr magnetons per cell. The value obtained for the formation energy is 699 meV/atom.

---

Record 4
Entry from Alexandria via LeMat-Bulk: a relaxed LaGa5Ir2Rh crystal (PBE).

abc: 4.8008 4.8008 7.7301
angles: 90.00 90.00 90.00
Space group P4/mmm (No. 123)
Asymmetric unit:
La (0.0000, 0.0000, 0.0000)
Ga (0.0000, 0.5000, 0.3260)
Ga (0.5000, 0.5000, 0.0000)
Ir (0.5000, 0.5000, 0.2971)
Rh (0.0000, 0.0000, 0.5000)

Calculated values
The theoretical density comes out at 9.09 g/cm³. The density of states at the Fermi level comes out at 4.156 states/eV/cell. The value obtained for the total energy is -5.36 eV per atom. The value obtained for the spin magnetization is 0.00 Bohr magnetons per cell. The value obtained for the formation energy is -347 meV/atom.

---

Record 5
Entry from Alexandria via LeMat-Bulk: a relaxed La2Ga4Ir3Rh crystal (PBE).

abc: 4.3410 4.3410 10.2370
angles: 90.00 90.00 90.00
Space group P-4m2 (No. 115)
Asymmetric unit:
La (0.0000, 0.5000, 0.2408)
Ga (0.0000, 0.0000, 0.5000)
Ga (0.0000, 0.5000, 0.8769)
Ga (0.5000, 0.5000, 0.5000)
Ir (0.0000, 0.0000, 0.0000)
Ir (0.0000, 0.5000, 0.6313)
Rh (0.5000, 0.5000, 0.0000)

Calculated values
The theoretical density comes out at 10.64 g/cm³. The density of states at the Fermi level comes out at 6.392 states/eV/cell. The value obtained for the total energy is -6.36 eV per atom. The value obtained for the spin magnetization is 0.00 Bohr magnetons per cell. The value obtained for the formation energy is -767 meV/atom.

---

Record 6
Entry from Alexandria via LeMat-Bulk: a relaxed LaGa4IrRh2 crystal (PBE).

abc: 4.2687 4.2687 26.9624
angles: 90.00 90.00 120.00
Space group R-3m (No. 166, hexagonal axes)
Asymmetric unit:
La (0.0000, 0.0000, 0.0000)
Ga (0.0000, 0.0000, 0.1321)
Ga (0.0000, 0.0000, 0.4037)
Ir (0.0000, 0.0000, 0.5000)
Rh (0.0000, 0.0000, 0.2319)

Calculated values
The theoretical density comes out at 9.55 g/cm³. The density of states at the Fermi level comes out at 9.012 states/eV/cell. The value obtained for the total energy is -5.72 eV per atom. The value obtained for the spin magnetization is 0.00 Bohr magnetons per cell. The value obtained for the formation energy is -648 meV/atom.

---

Record 7
Entry from Alexandria via LeMat-Bulk: a relaxed La2GaIr2Rh5 crystal (PBE).

abc: 9.6427 9.6427 3.9155
angles: 90.00 90.00 90.00
Space group P4/mbm (No. 127)
Asymmetric unit:
La (0.1692, 0.3308, 0.0000)
Ga (0.0000, 0.0000, 0.0000)
Ir (0.1320, 0.6320, 0.0000)
Rh (0.0000, 0.5000, 0.5000)
Rh (0.0619, 0.8067, 0.5000)

Calculated values
The theoretical density comes out at 11.37 g/cm³. The density of states at the Fermi level comes out at 26.624 states/eV/cell. The value obtained for the total energy is -7.10 eV per atom. The value obtained for the spin magnetization is 0.00 Bohr magnetons per cell. The value obtained for the formation energy is -361 meV/atom.

---

Record 8
Entry from Alexandria via LeMat-Bulk: a relaxed La2GaIrRh crystal (PBE).

abc: 4.2931 4.2931 13.2818
angles: 90.00 90.00 90.00
Space group P4/nmm (No. 129, origin choice 2)
Asymmetric unit:
La (0.2500, 0.2500, 0.1045)
La (0.2500, 0.2500, 0.6780)
Ga (0.2500, 0.2500, 0.3995)
Ir (0.2500, 0.2500, 0.8828)
Rh (0.2500, 0.7500, 0.5000)

Calculated values
The theoretical density comes out at 8.72 g/cm³. The density of states at the Fermi level comes out at 5.637 states/eV/cell. The value obtained for the total energy is -6.56 eV per atom. The value obtained for the spin magnetization is 0.00 Bohr magnetons per cell. The value obtained for the formation energy is -744 meV/atom.

---

Record 9
Entry from Alexandria via LeMat-Bulk: a relaxed LaGa2IrRh crystal (PBE).

abc: 4.3294 4.3294 10.2006
angles: 90.00 90.00 90.00
Space group I-4m2 (No. 119)
Asymmetric unit:
La (0.0000, 0.0000, 0.0000)
Ga (0.0000, 0.0000, 0.3711)
Ir (0.0000, 0.5000, 0.7500)
Rh (0.0000, 0.5000, 0.2500)

Calculated values
The theoretical density comes out at 9.96 g/cm³. The density of states at the Fermi level comes out at 4.683 states/eV/cell. The value obtained for the total energy is -6.22 eV per atom. The value obtained for the spin magnetization is 0.00 Bohr magnetons per cell. The value obtained for the formation energy is -784 meV/atom.

---

Record 10
Entry from Alexandria via LeMat-Bulk: a relaxed LaGa3IrRu crystal (PBE).

abc: 7.9324 10.7952 5.9714
angles: 90.00 90.00 90.00
Space group Cmcm (No. 63)
Asymmetric unit:
La (0.0000, 0.2435, 0.2500)
Ga (0.0000, 0.2539, 0.7500)
Ga (0.2466, 0.0000, 0.0000)
Ir (0.0000, 0.4733, 0.7500)
Ru (0.0000, 0.0380, 0.7500)

Calculated values
The theoretical density comes out at 8.33 g/cm³. The density of states at the Fermi level comes out at 9.824 states/eV/cell. The value obtained for the total energy is -5.78 eV per atom. The value obtained for the spin magnetization is 0.00 Bohr magnetons per cell. The value obtained for the formation energy is -419 meV/atom.

---

Record 11
Entry from Alexandria via LeMat-Bulk: a relaxed La2Ga4Ir3Ru crystal (PBE).

abc: 4.4130 4.4130 9.9576
angles: 90.00 90.00 90.00
Space group P-4m2 (No. 115)
Asymmetric unit:
La (0.0000, 0.5000, 0.2313)
Ga (0.0000, 0.0000, 0.5000)
Ga (0.0000, 0.5000, 0.8783)
Ga (0.5000, 0.5000, 0.5000)
Ir (0.0000, 0.0000, 0.0000)
Ir (0.0000, 0.5000, 0.6261)
Ru (0.5000, 0.5000, 0.0000)

Calculated values
The theoretical density comes out at 10.57 g/cm³. The density of states at the Fermi level comes out at 5.421 states/eV/cell. The value obtained for the total energy is -6.45 eV per atom. The value obtained for the spin magnetization is 0.00 Bohr magnetons per cell. The value obtained for the formation energy is -672 meV/atom.

---

Record 12
Entry from Alexandria via LeMat-Bulk: a relaxed La2GaSb3Ir4 crystal (PBE).

abc: 4.4297 4.4297 10.8879
angles: 90.00 90.00 90.00
Space group P-4m2 (No. 115)
Asymmetric unit:
La (0.0000, 0.5000, 0.2406)
Ga (0.5000, 0.5000, 0.0000)
Sb (0.0000, 0.0000, 0.0000)
Sb (0.0000, 0.5000, 0.6369)
Ir (0.0000, 0.0000, 0.5000)
Ir (0.0000, 0.5000, 0.8740)
Ir (0.5000, 0.5000, 0.5000)

Calculated values
The theoretical density comes out at 11.52 g/cm³. The density of states at the Fermi level comes out at 5.511 states/eV/cell. The value obtained for the total energy is -6.76 eV per atom. The value obtained for the spin magnetization is 0.00 Bohr magnetons per cell.

---

Please write out number 12 again, unchanged.
Entry from Alexandria via LeMat-Bulk: a relaxed La2GaSb3Ir4 crystal (PBE).

abc: 4.4297 4.4297 10.8879
angles: 90.00 90.00 90.00
Space group P-4m2 (No. 115)
Asymmetric unit:
La (0.0000, 0.5000, 0.2406)
Ga (0.5000, 0.5000, 0.0000)
Sb (0.0000, 0.0000, 0.0000)
Sb (0.0000, 0.5000, 0.6369)
Ir (0.0000, 0.0000, 0.5000)
Ir (0.0000, 0.5000, 0.8740)
Ir (0.5000, 0.5000, 0.5000)

Calculated values
The theoretical density comes out at 11.52 g/cm³. The density of states at the Fermi level comes out at 5.511 states/eV/cell. The value obtained for the total energy is -6.76 eV per atom. The value obtained for the spin magnetization is 0.00 Bohr magnetons per cell.

---

Copy entry 9 word for word.
Entry from Alexandria via LeMat-Bulk: a relaxed LaGa2IrRh crystal (PBE).

abc: 4.3294 4.3294 10.2006
angles: 90.00 90.00 90.00
Space group I-4m2 (No. 119)
Asymmetric unit:
La (0.0000, 0.0000, 0.0000)
Ga (0.0000, 0.0000, 0.3711)
Ir (0.0000, 0.5000, 0.7500)
Rh (0.0000, 0.5000, 0.2500)

Calculated values
The theoretical density comes out at 9.96 g/cm³. The density of states at the Fermi level comes out at 4.683 states/eV/cell. The value obtained for the total energy is -6.22 eV per atom. The value obtained for the spin magnetization is 0.00 Bohr magnetons per cell. The value obtained for the formation energy is -784 meV/atom.